{
  "formula": "Dy3Y5Sb8",
  "functional": "PBE",
  "state": "relaxed",
  "dft_energy_ev_per_atom": -6.097,
  "crystal_system": "trigonal",
  "spacegroup": "No. 166",
  "rho_g_cm3": 6.62,
  "raw_formation_energy_ev_per_atom": -1.153,
  "lattice_angstrom": [[-4.457, 7.538, 0.617], [-5.099, 2.641, -6.641], [-8.736, -0.124, 0.856]],
  "species": ["Sb", "Sb", "Sb", "Sb", "Sb", "Sb", "Sb", "Sb", "Y", "Y", "Y", "Y", "Y", "Dy", "Dy", "Dy"],
  "frac_coords": [[0.750, 0.250, 0.750], [0.250, 0.250, 0.251], [0.750, 0.250, 0.250], [0.250, 0.750, 0.250], [0.250, 0.250, 0.750], [0.750, 0.750, 0.250], [0.750, 0.750, 0.749], [0.250, 0.750, 0.750], [0.000, 0.000, 0.000], [0.000, 0.500, 0.000], [0.500, 0.000, 0.000], [0.500, 0.500, 0.000], [0.500, 0.500, 0.500], [0.500, 0.000, 0.500], [0.000, 0.000, 0.500], [0.000, 0.500, 0.500]]
}